No. 1
A crystal of LiZnCd2 relaxed with PBEsol, computed with SCAN.

```
data_LiZnCd2
_chemical_formula_sum 'Li1 Zn1 Cd2'
_cell_length_a 3.127
_cell_length_b 3.693
_cell_length_c 6.034
_cell_angle_alpha 90.00
_cell_angle_beta 90.00
_cell_angle_gamma 90.00
_symmetry_space_group_name_H-M 'P m m m'
_symmetry_Int_Tables_number 47
loop_
_symmetry_equiv_pos_as_xyz
'x,y,z'
'-x,-y,-z'
'-x,-y,z'
'x,y,-z'
'x,-y,-z'
'-x,y,z'
'-x,y,-z'
'x,-y,z'
loop_
_atom_site_label
_atom_site_fract_x
_atom_site_fract_y
_atom_site_fract_z
Li1 0.000 0.000 0.000
Zn1 0.000 0.000 0.500
Cd1 0.500 0.500 0.246
```

Calculated volume (Å³ per atom): 17.42
ρ (g/cm3): 7.08
Raw total energy (eV/atom): -19.306
DFT formation energy (eV/f.u.): -0.49

No. 2
A crystal of Li2ZnCd relaxed with PBEsol, computed with SCAN.

```
data_Li2ZnCd
_chemical_formula_sum 'Li2 Zn1 Cd1'
_cell_length_a 2.839
_cell_length_b 4.608
_cell_length_c 4.981
_cell_angle_alpha 90.00
_cell_angle_beta 90.00
_cell_angle_gamma 90.00
_symmetry_space_group_name_H-M 'P m m 2'
_symmetry_Int_Tables_number 25
loop_
_symmetry_equiv_pos_as_xyz
'x,y,z'
'-x,-y,z'
'-x,y,z'
'x,-y,z'
loop_
_atom_site_label
_atom_site_fract_x
_atom_site_fract_y
_atom_site_fract_z
Li1 0.000 0.000 0.000
Li2 0.000 0.500 0.326
Zn1 0.500 0.000 0.496
Cd1 0.500 0.500 0.818
```

Calculated volume (Å³ per atom): 16.29
ρ (g/cm3): 4.89
Raw total energy (eV/atom): -12.393
DFT formation energy (eV/f.u.): -0.86

No. 3
A crystal of Li2ZnCd relaxed with PBEsol, computed with SCAN.

```
data_Li2ZnCd
_chemical_formula_sum 'Li2 Zn1 Cd1'
_cell_length_a 3.126
_cell_length_b 3.126
_cell_length_c 6.693
_cell_angle_alpha 90.00
_cell_angle_beta 90.00
_cell_angle_gamma 90.00
_symmetry_space_group_name_H-M 'P 4 m m'
_symmetry_Int_Tables_number 99
loop_
_symmetry_equiv_pos_as_xyz
'x,y,z'
'-y,x,z'
'-x,-y,z'
'y,-x,z'
'-x,y,z'
'y,x,z'
'x,-y,z'
'-y,-x,z'
loop_
_atom_site_label
_atom_site_fract_x
_atom_site_fract_y
_atom_site_fract_z
Li1 0.000 0.000 0.000
Li2 0.500 0.500 0.258
Zn1 0.000 0.000 0.468
Cd1 0.500 0.500 0.742
```

Calculated volume (Å³ per atom): 16.35
ρ (g/cm3): 4.87
Raw total energy (eV/atom): -12.333
DFT formation energy (eV/f.u.): -0.62

No. 4
A crystal of LiZnCd2 relaxed with PBEsol, computed with SCAN.

```
data_LiZnCd2
_chemical_formula_sum 'Li2 Zn2 Cd4'
_cell_length_a 6.135
_cell_length_b 6.146
_cell_length_c 3.681
_cell_angle_alpha 90.00
_cell_angle_beta 90.00
_cell_angle_gamma 90.00
_symmetry_space_group_name_H-M 'C m m m'
_symmetry_Int_Tables_number 65
_symmetry_space_group_name_Hall '-C 2 2'
loop_
_atom_site_label
_atom_site_fract_x
_atom_site_fract_y
_atom_site_fract_z
Li1 0.000 0.000 0.000
Zn1 0.000 0.500 0.000
Cd1 0.250 0.250 0.500
```

Calculated volume (Å³ per atom): 17.35
ρ (g/cm3): 7.11
Raw total energy (eV/atom): -19.324
DFT formation energy (eV/f.u.): -0.56

No. 5
A crystal of LiZnCd2 relaxed with PBEsol, computed with SCAN.

```
data_LiZnCd2
_chemical_formula_sum 'Li1 Zn1 Cd2'
_cell_length_a 3.253
_cell_length_b 3.253
_cell_length_c 6.464
_cell_angle_alpha 90.00
_cell_angle_beta 90.00
_cell_angle_gamma 90.00
_symmetry_space_group_name_H-M 'P 4 m m'
_symmetry_Int_Tables_number 99
loop_
_symmetry_equiv_pos_as_xyz
'x,y,z'
'-y,x,z'
'-x,-y,z'
'y,-x,z'
'-x,y,z'
'y,x,z'
'x,-y,z'
'-y,-x,z'
loop_
_atom_site_label
_atom_site_fract_x
_atom_site_fract_y
_atom_site_fract_z
Li1 0.000 0.000 0.000
Zn1 0.500 0.500 0.202
Cd1 0.000 0.000 0.459
Cd2 0.500 0.500 0.760
```

Calculated volume (Å³ per atom): 17.10
ρ (g/cm3): 7.21
Raw total energy (eV/atom): -19.314
DFT formation energy (eV/f.u.): -0.52

No. 6
A crystal of Li2ZnCd relaxed with PBEsol, computed with SCAN.

```
data_Li2ZnCd
_chemical_formula_sum 'Li2 Zn1 Cd1'
_cell_length_a 3.150
_cell_length_b 3.150
_cell_length_c 6.301
_cell_angle_alpha 90.00
_cell_angle_beta 90.00
_cell_angle_gamma 90.00
_symmetry_space_group_name_H-M 'P 4/m m m'
_symmetry_Int_Tables_number 123
_symmetry_space_group_name_Hall '-P 4 2'
loop_
_atom_site_label
_atom_site_fract_x
_atom_site_fract_y
_atom_site_fract_z
Li1 0.000 0.000 0.232
Zn1 0.500 0.500 0.000
Cd1 0.500 0.500 0.500
```

Calculated volume (Å³ per atom): 15.63
ρ (g/cm3): 5.09
Raw total energy (eV/atom): -12.400
DFT formation energy (eV/f.u.): -0.89

No. 7
A crystal of Li2ZnCd relaxed with PBEsol, computed with SCAN.

```
data_Li2ZnCd
_chemical_formula_sum 'Li8 Zn4 Cd4'
_cell_length_a 6.334
_cell_length_b 6.334
_cell_length_c 6.334
_cell_angle_alpha 90.00
_cell_angle_beta 90.00
_cell_angle_gamma 90.00
_symmetry_space_group_name_H-M 'F -4 3 m'
_symmetry_Int_Tables_number 216
_symmetry_space_group_name_Hall 'F -4 2 3'
loop_
_atom_site_label
_atom_site_fract_x
_atom_site_fract_y
_atom_site_fract_z
Li1 0.000 0.000 0.000
Li2 0.250 0.250 0.250
Zn1 0.000 0.000 0.500
Cd1 0.250 0.250 0.750
```

Calculated volume (Å³ per atom): 15.88
ρ (g/cm3): 5.01
Raw total energy (eV/atom): -12.456
DFT formation energy (eV/f.u.): -1.12

No. 8
A crystal of LiZnCd2 relaxed with PBEsol, computed with SCAN.

```
data_LiZnCd2
_chemical_formula_sum 'Li2 Zn2 Cd4'
_cell_length_a 9.640
_cell_length_b 3.149
_cell_length_c 4.762
_cell_angle_alpha 90.00
_cell_angle_beta 105.20
_cell_angle_gamma 90.00
_symmetry_space_group_name_H-M 'C 1 m 1'
_symmetry_Int_Tables_number 8
loop_
_symmetry_equiv_pos_as_xyz
'x,y,z'
'x,-y,z'
'x+1/2,y+1/2,z'
'x+1/2,-y+1/2,z'
loop_
_atom_site_label
_atom_site_fract_x
_atom_site_fract_y
_atom_site_fract_z
Li1 0.000 0.000 0.000
Zn1 0.264 0.000 0.737
Cd1 0.016 0.500 0.522
Cd2 0.252 0.500 0.219
```

Calculated volume (Å³ per atom): 17.44
ρ (g/cm3): 7.08
Raw total energy (eV/atom): -19.292
DFT formation energy (eV/f.u.): -0.44